The following is a DFT calculation (PBE-GGA) of a relaxed LaPrSbO2 crystal.

The structure in POSCAR format:
```
LaPrSbO2
1.0
-2.698 -2.603 -1.523
2.539 -0.857 -3.033
2.899 -3.427 6.095
O Sb Pr La
2 1 1 1
direct
0.750 0.250 0.501
0.250 0.750 0.501
0.498 0.498 0.996
0.838 0.838 0.675
0.164 0.164 0.327
```

Symmetry: I4mm (107)
Formation energy from raw total energies (eV per atom): -2.64
Total magnetic moment (μB/cell): 0.00